Compound: InNiPb2
Source: Alexandria
Functional: PBE
Structure: optimized geometry

## Properties
For the calculated formation energy, the calculation gives 324.0 meV per atom.

Lattice parameters (Å, degrees): 5.4723 5.4723 5.4723 128.76 128.76 75.39
Closest atoms and distances in Å follow each position.
Element x y z (fractional)
In (0.2500, 0.7500, 0.5000)  8 Pb 3.21, 4 Ni 3.35
Pb (0.0000, 0.0000, 0.0000)  4 In 3.21, 4 Ni 3.21, 4 Pb 3.35
Pb (0.5000, 0.5000, 0.0000)  4 In 3.21, 4 Ni 3.21, 4 Pb 3.35
Ni (0.7500, 0.2500, 0.5000)  8 Pb 3.21, 4 In 3.35